Record 1
TbSc9In2 | GGA-PBE | optimized geometry

a b c (Å): 4.554 4.554 13.980
angles (deg): 90.00 90.00 90.00
Each line ends with the local moment (μB).
Atoms (fractional coordinates):
Sc1 0.500 0.500 0.000  -0.04
Sc2 0.000 0.500 0.825  0.10
Sc3 0.500 0.000 0.500  0.25
Sc4 0.500 0.500 0.660  0.27
Sc5 0.500 0.000 0.825  0.10
Sc6 0.000 0.500 0.175  0.10
Sc7 0.000 0.500 0.500  0.25
Sc8 0.500 0.000 0.175  0.10
Sc9 0.500 0.500 0.340  0.27
Tb1 0.000 0.000 0.000  -0.02
In1 0.000 0.000 0.661  -0.02
In2 0.000 0.000 0.339  -0.02

Summary:
* density of states at the Fermi level: 19.14 states/eV per cell
* symmetry: P4/mmm (123)
* energy of formation from the pure elements: -0.156 eV per atom
* magnetic moment: 2.05 μB/f.u.

---

Record 2
Tb12ScIn3 | GGA-PBE | optimized geometry

a b c (Å): 4.861 4.861 19.688
angles (deg): 90.00 90.00 90.00
Atoms (fractional coordinates):
Tb1 0.500 0.000 0.873
Tb2 0.500 0.500 0.500
Tb3 0.000 0.500 0.873
Tb4 0.000 0.500 0.624
Tb5 0.500 0.500 0.000
Tb6 0.500 0.500 0.748
Tb7 0.500 0.500 0.252
Tb8 0.000 0.500 0.127
Tb9 0.000 0.500 0.376
Tb10 0.500 0.000 0.127
Tb11 0.500 0.000 0.376
Tb12 0.500 0.000 0.624
In1 0.000 0.000 0.254
In2 0.000 0.000 0.746
In3 0.000 0.000 0.500
Sc1 0.000 0.000 0.000

Summary:
* density of states at the Fermi level: 21.09 states/eV per cell
* symmetry: P4/mmm (123)
* energy of formation from the pure elements: -0.193 eV per atom
* magnetic moment: 0.00 μB/f.u.

---

Record 3
TbSc2In4 | GGA-PBE | optimized geometry

a b c (Å): 6.226 6.226 6.226
angles (deg): 112.69 107.89 107.89
Atoms (fractional coordinates):
Sc1 0.500 0.500 0.000
Sc2 0.500 0.000 0.500
In1 0.500 0.500 0.500
In2 0.000 0.000 0.500
In3 0.000 0.500 0.000
In4 0.500 0.000 0.000
Tb1 0.000 0.000 0.000

Summary:
* density of states at the Fermi level: 6.36 states/eV per cell
* symmetry: I4/mmm (139)
* energy of formation from the pure elements: -0.302 eV per atom
* magnetic moment: 0.00 μB/f.u.

---

Which value of magnetic moment does entry 2 give?
0.00 μB/f.u.